A relaxed NaZn9Cu3 crystal, computed with PBE.

The structure in POSCAR format:
```
NaZn9Cu3
1.0
2.4882 -6.2710 0.0000
2.4882 6.2710 0.0000
-2.3476 0.0000 6.2940
Na Zn Cu
1 9 3
Direct
0.0000 0.0000 0.0000 Na
0.0175 0.6651 0.6570 Zn
0.2795 0.5005 0.7839 Zn
0.3349 0.9825 0.3430 Zn
0.5005 0.2795 0.7839 Zn
0.5000 0.5000 0.5000 Zn
0.4995 0.7205 0.2161 Zn
0.6651 0.0175 0.6570 Zn
0.7205 0.4995 0.2161 Zn
0.9825 0.3349 0.3430 Zn
0.0000 0.0000 0.5000 Cu
0.0000 0.5000 0.0000 Cu
0.5000 0.0000 0.0000 Cu
```

Output
Its space group is No. 12. The calculation puts the formation energy at -0.066 eV/atom. The value obtained for the volume is 15.1 A^3/atom.



A relaxed Ti2InAs2 crystal, computed with PBE.

The structure in POSCAR format:
```
Ti2InAs2
1.0
7.4202 0.0000 0.0000
0.0000 7.4202 0.0000
0.0000 0.0000 3.3324
Ti In As
4 2 4
Direct
0.1424 0.3576 0.0000 Ti
0.3576 0.8576 0.0000 Ti
0.6424 0.1424 0.0000 Ti
0.8576 0.6424 0.0000 Ti
0.0000 0.0000 0.5000 In
0.5000 0.5000 0.5000 In
0.1423 0.6423 0.5000 As
0.3577 0.1423 0.5000 As
0.6423 0.8577 0.5000 As
0.8577 0.3577 0.5000 As
```

Output
Its space group is No. 127. The calculation puts the formation energy at -0.410 eV/atom. The value obtained for the volume is 18.3 A^3/atom.



A relaxed AcNdTeAs crystal, computed with PBE.

The structure in POSCAR format:
```
AcNdTeAs
1.0
4.4655 0.0000 0.0000
-2.2328 3.8672 0.0000
0.0000 0.0000 22.6509
Ac Nd Te As
3 3 3 3
Direct
0.0000 0.0000 0.0000 Ac
0.3333 0.6667 0.6667 Ac
0.6667 0.3333 0.3333 Ac
0.0000 0.0000 0.4814 Nd
0.3333 0.6667 0.1481 Nd
0.6667 0.3333 0.8148 Nd
0.0000 0.0000 0.2361 Te
0.3333 0.6667 0.9027 Te
0.6667 0.3333 0.5694 Te
0.0000 0.0000 0.7455 As
0.3333 0.6667 0.4122 As
0.6667 0.3333 0.0788 As
```

Output
Its space group is No. 160. The value obtained for the volume is 32.6 A^3/atom. The calculation puts the uncorrected formation energy at -6.2 eV/f.u.



A relaxed MgZn3Au5 crystal, computed with PBE.

The structure in POSCAR format:
```
MgZn3Au5
1.0
7.8821 0.0000 0.0000
-3.9411 6.8261 0.0000
0.0000 0.0000 5.7102
Mg Zn Au
2 6 10
Direct
0.0000 0.0000 0.0000 Mg
0.0000 0.0000 0.5000 Mg
0.0000 0.3513 0.2500 Zn
0.0000 0.6487 0.7500 Zn
0.3513 0.0000 0.2500 Zn
0.3513 0.3513 0.7500 Zn
0.6487 0.0000 0.7500 Zn
0.6487 0.6487 0.2500 Zn
0.0000 0.3124 0.7500 Au
0.0000 0.6876 0.2500 Au
0.3124 0.0000 0.7500 Au
0.3124 0.3124 0.2500 Au
0.3333 0.6667 0.0000 Au
0.3333 0.6667 0.5000 Au
0.6667 0.3333 0.0000 Au
0.6667 0.3333 0.5000 Au
0.6876 0.0000 0.2500 Au
0.6876 0.6876 0.7500 Au
```

Output
Its space group is No. 193. The calculation puts the formation energy at -0.251 eV/atom. The value obtained for the volume is 17.1 A^3/atom.



A relaxed Nd2CoSi3Pt12 crystal, computed with PBE.

The structure in POSCAR format:
```
Nd2CoSi3Pt12
1.0
4.0765 2.3536 6.1585
-4.0765 2.3536 6.1585
0.0000 -4.7071 6.1585
Nd Co Si Pt
2 1 3 12
Direct
0.1184 0.1184 0.1184 Nd
0.8816 0.8816 0.8816 Nd
0.5000 0.5000 0.5000 Co
0.0000 0.5000 0.5000 Si
0.5000 0.0000 0.5000 Si
0.5000 0.5000 0.0000 Si
0.1309 0.6229 0.6229 Pt
0.1428 0.1428 0.6060 Pt
0.1428 0.6060 0.1428 Pt
0.3771 0.3771 0.8691 Pt
0.3771 0.8691 0.3771 Pt
0.3940 0.8572 0.8572 Pt
0.6060 0.1428 0.1428 Pt
0.6229 0.1309 0.6229 Pt
0.6229 0.6229 0.1309 Pt
0.8572 0.3940 0.8572 Pt
0.8572 0.8572 0.3940 Pt
0.8691 0.3771 0.3771 Pt
```

Output
Its space group is No. 166. The value obtained for the volume is 19.7 A^3/atom. The calculation puts the uncorrected formation energy at -7.7 eV/f.u.



A relaxed Be2FeSeI crystal, computed with PBE.

The structure in POSCAR format:
```
Be2FeSeI
1.0
4.4173 0.0000 0.0000
0.0000 4.4173 0.0000
0.0000 0.0000 4.7107
Be Fe Se I
2 1 1 1
Direct
0.0000 0.5000 0.0000 Be
0.5000 0.0000 0.0000 Be
0.0000 0.0000 0.0000 Fe
0.5000 0.5000 0.5000 Se
0.0000 0.0000 0.5000 I
```

Output
Its space group is No. 123. The value obtained for the volume is 18.4 A^3/atom. The calculation puts the uncorrected formation energy at 5.3 eV/f.u.



A relaxed TiCuAu3 crystal, computed with PBE.

The structure in POSCAR format:
```
TiCuAu3
1.0
4.1077 0.0000 0.0000
0.0000 6.9194 0.0000
0.0000 0.0000 6.1300
Ti Cu Au
2 2 6
Direct
0.2500 0.2500 0.2191 Ti
0.7500 0.7500 0.7809 Ti
0.2500 0.7500 0.0577 Cu
0.7500 0.2500 0.9423 Cu
0.2500 0.0414 0.7943 Au
0.2500 0.4586 0.7943 Au
0.2500 0.7500 0.4782 Au
0.7500 0.2500 0.5218 Au
0.7500 0.5414 0.2057 Au
0.7500 0.9586 0.2057 Au
```

Output
Its space group is No. 59. The calculation puts the formation energy at -0.099 eV/atom. The value obtained for the volume is 17.4 A^3/atom.



A relaxed Zn2GaAs crystal, computed with PBE.

The structure in POSCAR format:
```
Zn2GaAs
1.0
6.6209 0.0000 0.0000
0.0000 6.6209 0.0000
0.0000 0.0000 6.6209
Zn Ga As
8 4 4
Direct
0.2500 0.2500 0.2500 Zn
0.2500 0.2500 0.7500 Zn
0.2500 0.7500 0.2500 Zn
0.2500 0.7500 0.7500 Zn
0.7500 0.2500 0.2500 Zn
0.7500 0.2500 0.7500 Zn
0.7500 0.7500 0.2500 Zn
0.7500 0.7500 0.7500 Zn
0.0000 0.0000 0.0000 Ga
0.0000 0.5000 0.5000 Ga
0.5000 0.0000 0.5000 Ga
0.5000 0.5000 0.0000 Ga
0.0000 0.0000 0.5000 As
0.0000 0.5000 0.0000 As
0.5000 0.0000 0.0000 As
0.5000 0.5000 0.5000 As
```

Output
Its space group is No. 225. The calculation puts the formation energy at 0.148 eV/atom. The value obtained for the volume is 18.1 A^3/atom.



A relaxed NaCdIr crystal, computed with PBE.

The structure in POSCAR format:
```
NaCdIr
1.0
6.7745 0.0000 0.0000
-3.3873 5.8669 0.0000
0.0000 0.0000 4.8100
Na Cd Ir
3 3 3
Direct
0.0000 0.5570 0.0000 Na
0.4430 0.4430 0.0000 Na
0.5570 0.0000 0.0000 Na
0.0000 0.0000 0.0000 Cd
0.3333 0.6667 0.5000 Cd
0.6667 0.3333 0.5000 Cd
0.0000 0.2212 0.5000 Ir
0.2212 0.0000 0.5000 Ir
0.7788 0.7788 0.5000 Ir
```

Output
Its space group is No. 189. The calculation puts the formation energy at 0.269 eV/atom. The value obtained for the volume is 21.2 A^3/atom.



A relaxed Rb4PuF10 crystal, computed with PBE.

The structure in POSCAR format:
```
Rb4PuF10
1.0
-5.0043 5.0043 3.1334
5.0043 -5.0043 3.1334
5.0043 5.0043 -3.1334
Rb Pu F
4 1 10
Direct
0.0996 0.3019 0.4015 Rb
0.3019 0.9004 0.2023 Rb
0.6981 0.0996 0.7977 Rb
0.9004 0.6981 0.5985 Rb
0.5000 0.5000 0.0000 Pu
0.1458 0.2169 0.7608 F
0.2169 0.4561 0.0711 F
0.2500 0.7500 0.5000 F
0.3850 0.1458 0.9289 F
0.4561 0.3850 0.2392 F
0.5439 0.6150 0.7608 F
0.6150 0.8542 0.0711 F
0.7500 0.2500 0.5000 F
0.7831 0.5439 0.9289 F
0.8542 0.7831 0.2392 F
```

Output
Its space group is No. 87. The value obtained for the volume is 20.9 A^3/atom. The calculation puts the uncorrected formation energy at -42.2 eV/f.u.



A relaxed AlReHg2 crystal, computed with PBE.

The structure in POSCAR format:
```
AlReHg2
1.0
11.1531 0.0000 0.0000
0.0000 2.8357 0.0000
-1.1945 0.0000 4.8102
Al Re Hg
2 2 4
Direct
0.0000 0.0000 0.0000 Al
0.5000 0.5000 0.0000 Al
0.3181 0.0000 0.7129 Re
0.8181 0.5000 0.7129 Re
0.0698 0.5000 0.5402 Hg
0.2781 0.5000 0.1968 Hg
0.5698 0.0000 0.5402 Hg
0.7781 0.0000 0.1968 Hg
```

Output
Its space group is No. 8. The calculation puts the formation energy at 0.511 eV/atom. The value obtained for the volume is 19.0 A^3/atom.



A relaxed Ba4TaPt crystal, computed with PBE.

The structure in POSCAR format:
```
Ba4TaPt
1.0
0.0000 4.8322 4.8322
4.8322 0.0000 4.8322
4.8322 4.8322 0.0000
Ba Ta Pt
4 1 1
Direct
0.1245 0.1245 0.1245 Ba
0.1245 0.1245 0.6266 Ba
0.1245 0.6266 0.1245 Ba
0.6266 0.1245 0.1245 Ba
0.5000 0.5000 0.5000 Ta
0.7500 0.7500 0.7500 Pt
```

Output
Its space group is No. 216. The calculation puts the formation energy at 1.212 eV/atom. The value obtained for the volume is 37.6 A^3/atom.



A relaxed MgOsCl2 crystal, computed with PBE.

The structure in POSCAR format:
```
MgOsCl2
1.0
16.3071 0.0000 0.0000
0.0000 3.0291 0.0000
-0.7661 0.0000 3.5461
Mg Os Cl
2 2 4
Direct
0.0000 0.0000 0.0000 Mg
0.5000 0.5000 0.0000 Mg
0.1434 0.5000 0.1359 Os
0.6434 0.0000 0.1359 Os
0.1819 0.0000 0.6725 Cl
0.4215 0.0000 0.4265 Cl
0.6819 0.5000 0.6725 Cl
0.9215 0.5000 0.4265 Cl
```

Output
Its space group is No. 8. The value obtained for the volume is 21.9 A^3/atom. The calculation puts the uncorrected formation energy at 0.1 eV/f.u.



A relaxed Nd3Ho2Te5 crystal, computed with PBE.

The structure in POSCAR format:
```
Nd3Ho2Te5
1.0
7.3581 -2.2082 0.0000
7.3581 2.2082 0.0000
-5.4220 0.0000 9.4808
Nd Ho Te
3 2 5
Direct
0.0000 0.0000 0.0000 Nd
0.2086 0.2086 0.8061 Nd
0.7914 0.7914 0.1939 Nd
0.4036 0.4036 0.5987 Ho
0.5964 0.5964 0.4013 Ho
0.0000 0.0000 0.5000 Te
0.1980 0.1980 0.3128 Te
0.4044 0.4044 0.1108 Te
0.5956 0.5956 0.8892 Te
0.8020 0.8020 0.6872 Te
```

Output
Its space group is No. 12. The value obtained for the volume is 30.8 A^3/atom. The calculation puts the uncorrected formation energy at -13.6 eV/f.u.



A relaxed Np2UPN5 crystal, computed with PBE.

The structure in POSCAR format:
```
Np2UPN5
1.0
5.9395 0.0000 0.0000
0.0000 5.9395 0.0000
0.0000 0.0000 5.9197
Np U P N
4 2 2 10
Direct
0.1465 0.3535 0.0000 Np
0.3535 0.8535 0.0000 Np
0.6465 0.1465 0.0000 Np
0.8535 0.6465 0.0000 Np
0.0000 0.0000 0.5000 U
0.5000 0.5000 0.5000 U
0.0000 0.5000 0.5000 P
0.5000 0.0000 0.5000 P
0.0000 0.0000 0.0000 N
0.1545 0.6545 0.2896 N
0.1545 0.6545 0.7104 N
0.3455 0.1545 0.2896 N
0.3455 0.1545 0.7104 N
0.5000 0.5000 0.0000 N
0.6545 0.8455 0.2896 N
0.6545 0.8455 0.7104 N
0.8455 0.3455 0.2896 N
0.8455 0.3455 0.7104 N
```

Output
Its space group is No. 127. The value obtained for the volume is 11.6 A^3/atom. The calculation puts the uncorrected formation energy at -5.7 eV/f.u.



A relaxed Ta4Mn7Ge6 crystal, computed with PBE.

The structure in POSCAR format:
```
Ta4Mn7Ge6
1.0
-3.8928 3.8928 3.8928
3.8928 -3.8928 3.8928
3.8928 3.8928 -3.8928
Ta Mn Ge
4 7 6
Direct
0.0000 0.0000 0.5000 Ta
0.0000 0.5000 0.0000 Ta
0.5000 0.0000 0.0000 Ta
0.5000 0.5000 0.5000 Ta
0.0000 0.0000 0.0000 Mn
0.2500 0.5000 0.7500 Mn
0.2500 0.7500 0.5000 Mn
0.5000 0.2500 0.7500 Mn
0.5000 0.7500 0.2500 Mn
0.7500 0.2500 0.5000 Mn
0.7500 0.5000 0.2500 Mn
0.0000 0.3073 0.3073 Ge
0.0000 0.6927 0.6927 Ge
0.3073 0.0000 0.3073 Ge
0.3073 0.3073 0.0000 Ge
0.6927 0.0000 0.6927 Ge
0.6927 0.6927 0.0000 Ge
```

Output
Its space group is No. 229. The calculation puts the formation energy at -0.162 eV/atom. The value obtained for the volume is 13.9 A^3/atom.



A relaxed B2C crystal, computed with PBE.

The structure in POSCAR format:
```
B2C
1.0
5.4927 -1.3574 0.0000
5.4927 1.3574 0.0000
-0.9574 0.0000 5.5753
B C
8 4
Direct
0.0000 0.0000 0.0000 B
0.0041 0.0041 0.6922 B
0.1220 0.1220 0.5455 B
0.1456 0.1456 0.8934 B
0.4045 0.4045 0.7717 B
0.4745 0.4745 0.5066 B
0.6981 0.6981 0.4402 B
0.7594 0.7594 0.7410 B
0.3711 0.3711 0.2641 C
0.4485 0.4485 0.0697 C
0.7127 0.7127 0.9858 C
0.7873 0.7873 0.2398 C
```

Output
Its space group is No. 8. The calculation puts the formation energy at 0.355 eV/atom. The value obtained for the volume is 6.9 A^3/atom.



A relaxed ZrCr2Pt crystal, computed with PBE.

The structure in POSCAR format:
```
ZrCr2Pt
1.0
5.4054 0.0000 0.0000
0.0000 8.8653 0.0000
-0.9638 0.0000 2.5479
Zr Cr Pt
2 4 2
Direct
0.0000 0.0000 0.0000 Zr
0.5000 0.5000 0.0000 Zr
0.2500 0.2500 0.5000 Cr
0.2500 0.7500 0.5000 Cr
0.7500 0.2500 0.5000 Cr
0.7500 0.7500 0.5000 Cr
0.0000 0.5000 0.0000 Pt
0.5000 0.0000 0.0000 Pt
```

Output
Its space group is No. 12. The calculation puts the formation energy at 0.106 eV/atom. The value obtained for the volume is 15.3 A^3/atom.



A relaxed Ba4SbP crystal, computed with PBE.

The structure in POSCAR format:
```
Ba4SbP
1.0
5.3430 -7.3799 0.0000
5.3430 7.3799 0.0000
-4.6943 0.0000 6.5566
Ba Sb P
8 2 2
Direct
0.0603 0.7201 0.9159 Ba
0.2261 0.3441 0.7192 Ba
0.2799 0.9397 0.5841 Ba
0.3441 0.2261 0.2192 Ba
0.6559 0.7739 0.7808 Ba
0.7201 0.0603 0.4159 Ba
0.7739 0.6559 0.2808 Ba
0.9397 0.2799 0.0841 Ba
0.3630 0.6370 0.2500 Sb
0.6370 0.3630 0.7500 Sb
0.0042 0.9958 0.2500 P
0.9958 0.0042 0.7500 P
```

Output
Its space group is No. 15. The value obtained for the volume is 43.1 A^3/atom. The calculation puts the uncorrected formation energy at -4.8 eV/f.u.



A relaxed GdIn2Sb crystal, computed with PBE.

The structure in POSCAR format:
```
GdIn2Sb
1.0
4.5659 0.0000 0.0000
0.0000 4.5659 0.0000
0.0000 0.0000 5.0375
Gd In Sb
1 2 1
Direct
0.0000 0.0000 0.0000 Gd
0.0000 0.5000 0.5000 In
0.5000 0.0000 0.5000 In
0.5000 0.5000 0.0000 Sb
```

Output
Its space group is No. 123. The value obtained for the volume is 26.3 A^3/atom. The calculation puts the uncorrected formation energy at -1.9 eV/f.u.